The following is a PBE-GGA calculation of MgGe3Se after structural relaxation, from Alexandria.

Values from the calculation:
The excess energy over the best structure of this formula in the dataset comes out at 0.000 eV/atom. For the density, the calculation gives 3.88 g/cm3.

```
MgGe3Se
1.0
5.1627 0.0000 0.0000
0.0000 5.1627 0.0000
0.0000 0.0000 5.1627
Ge Mg Se
3 1 1
Cartesian
0.0000 0.0000 2.5814 Ge
0.0000 2.5814 0.0000 Ge
2.5814 0.0000 0.0000 Ge
2.5814 2.5814 2.5814 Mg
0.0000 0.0000 0.0000 Se
```